No. 1
Material: ZnCoReIr
Method: DFT, PBE
State: relaxed

Structure (POSCAR):
```
ZnCoReIr
1.0
3.293 -2.683 -0.394
0.757 -2.908 3.029
-0.699 -4.134 -0.789
Re Zn Ir Co
1 1 1 1
direct
0.500 0.500 0.500
0.000 0.000 0.000
0.250 0.250 0.250
0.750 0.750 0.750
```

Summary:
VASP energy (eV/atom): -7.28
Density (g cm⁻³): 15.2
DFT formation energy (eV per formula unit): 0.55
Offset from the most stable computed form (meV per atom): 0.0



No. 2
Material: CoSb2Ir
Method: DFT, PBE
State: relaxed

Structure (POSCAR):
```
CoSb2Ir
1.0
-1.795 -3.284 2.873
-1.326 1.164 4.375
-4.580 0.102 1.128
Co Ir Sb
1 1 2
direct
0.250 0.250 0.250
0.500 0.500 0.500
0.750 0.750 0.750
0.000 0.000 0.000
```

Summary:
VASP energy (eV/atom): -5.39
Density (g cm⁻³): 11.1



No. 3
Material: ScCoSbIr
Method: DFT, PBE
State: relaxed

Structure (POSCAR):
```
ScCoSbIr
1.0
-2.383 -3.866 0.335
-1.841 -1.202 3.988
-4.517 0.151 0.561
Sb Ir Co Sc
1 1 1 1
direct
0.000 0.000 0.000
0.500 0.500 0.500
0.750 0.750 0.750
0.250 0.250 0.250
```

Summary:
VASP energy (eV/atom): -6.70
Density (g cm⁻³): 10.4
Offset from the most stable computed form (meV per atom): 361.9



No. 4
Material: ScCoSbIr
Method: DFT, PBE
State: relaxed

Structure (POSCAR):
```
ScCoSbIr
1.0
0.000 3.195 3.195
3.195 0.000 3.195
3.195 3.195 0.000
Co Ir Sc Sb
1 1 1 1
direct
0.750 0.750 0.750
0.250 0.250 0.250
0.500 0.500 0.500
0.000 0.000 0.000
```

Summary:
VASP energy (eV/atom): -7.06
Density (g cm⁻³): 10.6
Offset from the most stable computed form (meV per atom): 0.0



No. 5
Material: CoTcSbIr
Method: DFT, PBE
State: relaxed

Structure (POSCAR):
```
CoTcSbIr
1.0
0.000 3.124 3.124
3.124 0.000 3.124
3.124 3.124 0.000
Co Ir Tc Sb
1 1 1 1
direct
0.750 0.750 0.750
0.500 0.500 0.500
0.250 0.250 0.250
0.000 0.000 0.000
```

Summary:
VASP energy (eV/atom): -7.34
Density (g cm⁻³): 12.8
Offset from the most stable computed form (meV per atom): 0.0



No. 6
Material: ZnCoSbIr
Method: DFT, PBE
State: relaxed

Structure (POSCAR):
```
ZnCoSbIr
1.0
0.000 3.107 3.107
3.107 0.000 3.107
3.107 3.107 0.000
Sb Ir Co Zn
1 1 1 1
direct
0.000 0.000 0.000
0.250 0.250 0.250
0.750 0.750 0.750
0.500 0.500 0.500
```

Summary:
VASP energy (eV/atom): -5.33
Density (g cm⁻³): 12.1
Offset from the most stable computed form (meV per atom): 0.0



No. 7
Material: ZrCoSbIr
Method: DFT, PBE
State: relaxed

Structure (POSCAR):
```
ZrCoSbIr
1.0
-2.157 -3.958 -0.912
-0.201 -3.299 3.198
-3.997 -0.967 2.058
Ir Co Zr Sb
1 1 1 1
direct
0.500 0.500 0.500
0.750 0.750 0.750
0.250 0.250 0.250
0.000 0.000 0.000
```

Summary:
VASP energy (eV/atom): -7.19
Density (g cm⁻³): 11.2
Offset from the most stable computed form (meV per atom): 259.3



No. 8
Material: Zr2CoSb2Ir
Method: DFT, PBE
State: relaxed

Structure (POSCAR):
```
Zr2CoSb2Ir
1.0
-6.361 3.896 -1.701
-2.257 -2.408 2.924
5.203 8.305 10.858
Sb Ir Zr Co
8 4 8 4
direct
0.819 0.500 0.937
0.305 0.000 0.933
0.314 0.500 0.444
0.554 0.000 0.684
0.067 0.500 0.685
0.816 0.000 0.444
0.562 0.500 0.187
0.062 0.000 0.183
0.499 0.500 0.998
0.752 0.000 0.253
0.250 0.500 0.252
0.750 0.500 0.748
0.187 0.000 0.563
0.944 0.000 0.812
0.429 0.500 0.808
0.686 0.500 0.559
0.181 0.500 0.059
0.941 0.500 0.319
0.694 0.000 0.060
0.440 0.000 0.320
0.001 0.500 0.502
0.500 0.000 0.502
0.248 0.000 0.747
0.000 0.000 0.998
```

Summary:
VASP energy (eV/atom): -7.72
Density (g cm⁻³): 9.3